[1]
Entry from Alexandria: a geometry-optimized Na3SrHg7 structure (PBE).

The value obtained for the density of states at the Fermi level is 5.2 states/eV/f.u. The energy of formation from the pure elements is -231 meV/atom. Its final energy is -0.9355 eV/atom. The volume is 656.45 Å³ per cell.

Cell: 11.0140 11.0140 16.2342 Å, 90.00 90.00 160.53°
With the nearest neighbours (Å) after each atom.
Atoms (fractional coordinates):
Na 0.1163 0.8837 0.5120  5 Hg 3.11-3.28
Na 0.1163 0.8837 0.9880  5 Hg 3.11-3.28
Na 0.2340 0.7660 0.2500  9 Hg 3.18-3.37
Na 0.7660 0.2340 0.7500  9 Hg 3.18-3.37
Na 0.8837 0.1163 0.0120  5 Hg 3.11-3.28
Na 0.8837 0.1163 0.4880  5 Hg 3.11-3.28
Sr 0.0161 0.9839 0.2500  10 Hg 3.28-3.48
Sr 0.9839 0.0161 0.7500  10 Hg 3.28-3.48
Hg 0.2502 0.7498 0.5792  3 Hg 2.94-3.18, 1 Na 3.11
Hg 0.2502 0.7498 0.9208  3 Hg 2.94-3.18, 1 Na 3.11
Hg 0.3735 0.6265 0.6541  3 Hg 2.94-3.15, 2 Na 3.28
Hg 0.3735 0.6265 0.8459  3 Hg 2.94-3.15, 2 Na 3.28
Hg 0.3806 0.6194 0.2500  1 Na 3.18, 2 Sr 3.48, 2 Hg 3.55
Hg 0.4904 0.5096 0.0875  2 Hg 2.87-3.15, 2 Na 3.22
Hg 0.4904 0.5096 0.4125  2 Hg 2.87-3.15, 2 Na 3.22
Hg 0.5096 0.4904 0.5875  2 Hg 2.87-3.15, 2 Na 3.22
Hg 0.5096 0.4904 0.9125  2 Hg 2.87-3.15, 2 Na 3.22
Hg 0.6194 0.3806 0.7500  1 Na 3.18, 2 Sr 3.48, 2 Hg 3.55
Hg 0.6265 0.3735 0.1541  3 Hg 2.94-3.15, 2 Na 3.28
Hg 0.6265 0.3735 0.3459  3 Hg 2.94-3.15, 2 Na 3.28
Hg 0.7498 0.2502 0.0792  3 Hg 2.94-3.18, 1 Na 3.11
Hg 0.7498 0.2502 0.4208  3 Hg 2.94-3.18, 1 Na 3.11

[2]
Entry from Alexandria: a geometry-optimized NaSr2Hg4 structure (PBE).

The value obtained for the density of states at the Fermi level is 4.8 states/eV/f.u. The energy of formation from the pure elements is -208 meV/atom. Its final energy is -1.0493 eV/atom. The volume is 248.16 Å³ per cell.

Cell: 9.2542 9.2542 9.2542 Å, 145.89 145.89 49.01°
With the nearest neighbours (Å) after each atom.
Atoms (fractional coordinates):
Na 0.0000 0.0000 0.0000  6 Hg 2.71-3.00
Sr 0.3743 0.3743 0.0000  5 Hg 3.31-3.44
Sr 0.6257 0.6257 0.0000  5 Hg 3.31-3.44
Hg 0.0000 0.5000 0.5000  2 Na 2.71
Hg 0.1779 0.1779 0.0000  1 Na 3.00, 1 Sr 3.31
Hg 0.5000 0.0000 0.5000  2 Na 2.71
Hg 0.8221 0.8221 0.0000  1 Na 3.00, 1 Sr 3.31